Entry 1:
Below is a geometry-optimized RbAgSe2O8 structure, with properties calculated at the GGA-PBE level.

Summary:
N(E_F)   1.94 states/eV/cell
Size of the total moment   6.2 μB/cell
Formation energy without anion corrections   -643 meV/atom

Unit cell a=5.1611 b=5.1611 c=26.7907 alpha=90.00 beta=90.00 gamma=120.00
Space group R-3 (No. 148, hexagonal axes)
Symmetry-distinct sites (fractional):
Rb (0.0000, 0.0000, 0.0000) x3
Ag (0.0000, 0.0000, 0.5000) x3
Se (0.0000, 0.0000, 0.2365) x6
O (0.0000, 0.0000, 0.2983) x6
O (0.0042, 0.6899, 0.2170) x18



Entry 2:
Below is a geometry-optimized RbAgSeO4 structure, with properties calculated at the GGA-PBE level.

Summary:
N(E_F)   0.00 states/eV/cell
Size of the total moment   0.0 μB/cell
Formation energy without anion corrections   -898 meV/atom

Unit cell a=6.250 b=6.250 c=8.187 alpha=90.00 beta=90.00 gamma=90.00
Space group I-4 (No. 82)
Symmetry-distinct sites (fractional):
Rb (0.000, 0.000, 0.000) x2
Ag (0.000, 0.000, 0.500) x2
Se (0.000, 0.500, 0.250) x2
O (0.122, 0.688, 0.365) x8